w) Pm3Ge2Rh3 PBE-GGA relaxed; SG = No. 62; crystal system = orthorhombic; magnetization = 0.00 μB per formula unit
1.0
5.708 0.000 0.000
0.000 7.728 0.000
0.000 0.000 15.254
Ge Rh Pm
8 12 12
direct
0.863 0.123 0.395 Ge
0.637 0.623 0.105 Ge
0.363 0.377 0.605 Ge
0.863 0.123 0.105 Ge
0.637 0.623 0.395 Ge
0.363 0.377 0.895 Ge
0.137 0.877 0.895 Ge
0.137 0.877 0.605 Ge
0.103 0.185 0.250 Rh
0.897 0.815 0.750 Rh
0.906 0.832 0.035 Rh
0.406 0.668 0.965 Rh
0.603 0.315 0.750 Rh
0.906 0.832 0.465 Rh
0.397 0.685 0.250 Rh
0.594 0.332 0.035 Rh
0.406 0.668 0.535 Rh
0.594 0.332 0.465 Rh
0.094 0.168 0.965 Rh
0.094 0.168 0.535 Rh
0.140 0.474 0.106 Pm
0.140 0.474 0.394 Pm
0.860 0.526 0.894 Pm
0.388 0.666 0.750 Pm
0.360 0.974 0.394 Pm
0.112 0.166 0.750 Pm
0.888 0.834 0.250 Pm
0.360 0.974 0.106 Pm
0.640 0.026 0.606 Pm
0.640 0.026 0.894 Pm
0.860 0.526 0.606 Pm
0.612 0.334 0.250 Pm

=====

x) Pm3Ge2Rh3 PBE-GGA relaxed; SG = No. 63; crystal system = orthorhombic; magnetization = 0.00 μB per formula unit
1.0
-3.491 0.189 2.401
-1.038 -2.232 -5.078
3.018 -13.873 5.481
Pm Rh Ge
6 6 4
direct
0.076 0.152 0.607 Pm
0.076 0.152 0.893 Pm
0.638 0.275 0.250 Pm
0.362 0.725 0.750 Pm
0.924 0.848 0.393 Pm
0.924 0.848 0.107 Pm
0.342 0.685 0.250 Rh
0.353 0.706 0.969 Rh
0.647 0.294 0.469 Rh
0.658 0.315 0.750 Rh
0.353 0.706 0.531 Rh
0.647 0.294 0.031 Rh
0.212 0.424 0.395 Ge
0.212 0.424 0.105 Ge
0.788 0.576 0.895 Ge
0.788 0.576 0.605 Ge

=====

Which of them is least stable? Easy: x).

=====

w) Pm3Ge8Rh3 PBE-GGA relaxed; SG = No. 71; crystal system = orthorhombic; magnetization = 0.00 μB per formula unit
1.0
4.216 0.000 0.000
2.108 8.073 -0.504
2.108 1.713 7.906
Pm Rh Ge
3 3 8
direct
0.184 0.816 0.816 Pm
0.816 0.184 0.184 Pm
0.500 0.500 0.500 Pm
0.000 0.211 0.789 Rh
0.500 0.000 0.000 Rh
0.000 0.789 0.211 Rh
0.622 0.080 0.677 Ge
0.842 0.529 0.787 Ge
0.378 0.323 0.920 Ge
0.622 0.677 0.080 Ge
0.158 0.471 0.213 Ge
0.158 0.213 0.471 Ge
0.842 0.787 0.529 Ge
0.378 0.920 0.323 Ge

=====

x) Pm3Ge8Rh3 PBE-GGA relaxed; SG = No. 12; crystal system = monoclinic; magnetization = 0.00 μB per formula unit
1.0
4.304 0.000 1.135
1.298 7.133 3.805
-0.036 0.118 8.863
Pm Rh Ge
3 3 8
direct
0.291 0.752 0.666 Pm
0.709 0.248 0.334 Pm
0.000 0.000 0.000 Pm
0.320 0.349 0.012 Rh
0.680 0.651 0.988 Rh
0.000 0.500 0.500 Rh
0.634 0.979 0.754 Ge
0.142 0.570 0.145 Ge
0.366 0.021 0.246 Ge
0.877 0.848 0.397 Ge
0.123 0.152 0.603 Ge
0.519 0.659 0.303 Ge
0.481 0.341 0.697 Ge
0.858 0.430 0.855 Ge

=====

Which of them is least stable? Easy: w).